Entry 1:
Entry from the Alexandria database: a geometry-optimized NaNdTa4N8 structure (GGA-PBE).

```
14
Lattice="-0.206 2.067 -6.009 1.083 -4.038 -4.790 -5.005 -1.820 -3.818" Properties=species:S:1:pos:R:3 pbc="T T T"
Na 0.811 -1.986 -10.802
Nd -4.039 -2.329 -7.389
Ta -0.130 -1.471 -7.229
Ta -2.028 -2.879 -4.284
Ta -2.650 0.063 -4.872
Ta -2.550 -0.933 -1.976
N -2.657 -4.016 -8.017
N -3.379 -0.598 -8.700
N -3.263 -1.755 -5.336
N -1.296 -1.006 -3.665
N -1.282 -0.001 -6.684
N -0.657 -2.960 -6.093
N -0.757 -1.958 -9.004
N -2.957 -2.813 -10.957
```

Space group: R3m, No. 160
ΔE_f (raw) (eV/atom): -0.924

Entry 2:
Entry from the Alexandria database: a geometry-optimized RbScS2N structure (GGA-PBE).

```
5
Lattice="-1.845 4.674 -0.841 -3.501 -0.729 3.628 2.832 1.670 3.069" Properties=species:S:1:pos:R:3 pbc="T T T"
Sc 0.000 0.000 0.000
S -1.751 -0.365 1.814
S -0.922 2.337 -0.420
Rb -1.257 2.807 2.928
N 1.416 0.835 1.534
```

Space group: P4/mmm, No. 123
ΔE_f (raw) (eV/atom): -0.456
Relative energy among the computed polymorphs (eV/atom): 0.000

Entry 3:
Entry from the Alexandria database: a geometry-optimized KIn4Pb2 structure (GGA-PBE).

```
7
Lattice="-0.346 -1.398 -7.086 -6.197 -0.761 3.647 1.909 6.946 0.629" Properties=species:S:1:pos:R:3 pbc="T T T"
K 0.000 0.000 0.000
In -2.899 0.242 -3.257
In -4.292 0.393 -0.701
In -0.341 4.394 -2.109
In -1.734 4.545 0.447
Pb -3.780 2.553 1.278
Pb -0.854 2.234 -4.088
```

Space group: I4/mmm, No. 139
Energy of formation (meV/atom): 113
Relative energy among the computed polymorphs (eV/atom): 0.136

Entry 4:
Entry from the Alexandria database: a geometry-optimized KLaRe2 structure (GGA-PBE).

```
4
Lattice="-3.535 -0.292 5.028 5.220 -3.097 -1.011 1.434 2.049 1.127" Properties=species:S:1:pos:R:3 pbc="T T T"
K -1.050 0.878 3.078
La 3.327 -0.524 0.058
Re 0.000 0.000 0.000
Re 0.842 -1.695 2.008
```

Space group: Cmmm, No. 65
Energy of formation (meV/atom): 1247
Relative energy among the computed polymorphs (eV/atom): 0.742

Entry 5:
Entry from the Alexandria database: a geometry-optimized CrTe2Ir structure (GGA-PBE).

```
4
Lattice="6.627 0.700 -0.423 4.094 5.258 0.423 -5.018 -3.595 2.546" Properties=species:S:1:pos:R:3 pbc="T T T"
Cr 4.654 2.587 0.000
Ir 2.117 2.265 1.484
Te 0.452 0.251 0.000
Te 3.840 0.239 1.061
```

Space group: Imm2, No. 44
ΔE_f (raw) (eV/atom): 0.277
Relative energy among the computed polymorphs (eV/atom): 0.349

Entry 6:
Entry from the Alexandria database: a geometry-optimized RbInTc2Ru structure (GGA-PBE).

```
5
Lattice="-2.847 3.007 3.197 -3.242 0.976 -3.805 -2.859 -4.162 1.369" Properties=species:S:1:pos:R:3 pbc="T T T"
Ru -1.621 0.488 -1.902
Tc -1.429 -2.081 0.684
Tc -1.424 1.503 1.598
Rb -4.474 -0.090 0.381
In 0.000 0.000 0.000
```

Space group: P4/mmm, No. 123
Energy of formation (meV/atom): 2060